A relaxed AlIn2Rh crystal. Source: Alexandria, functional PBE.

```
data_AlIn2Rh
_chemical_formula_sum 'Al2 In4 Rh2'
_cell_length_a 8.784
_cell_length_b 3.015
_cell_length_c 6.979
_cell_angle_alpha 90.00
_cell_angle_beta 109.40
_cell_angle_gamma 90.00
_space_group_name_H-M_alt 'C 1 m 1'
_space_group_IT_number 8
_space_group_name_Hall 'C -2y'
loop_
_atom_site_label
_atom_site_type_symbol
_atom_site_fract_x
_atom_site_fract_y
_atom_site_fract_z
Al1 Al 0.000 0.000 0.000
In1 In 0.153 0.500 0.650
In2 In 0.331 0.500 0.353
Rh1 Rh 0.278 0.000 0.003
```

## Properties
- Density of states at the Fermi level: 0.47 states/eV per atom
- Total moment: 0.00 μB/f.u.
- Energy of formation from the pure elements: -0.260 eV/atom
- Calculated total energy: -4.40 eV per atom